(1)
# KCuAu2

KCuAu2 at its PBEsol-relaxed geometry (SCAN, Alexandria). Values from VASP.

The structure in Quantum ESPRESSO input format:
```
&SYSTEM
  ibrav = 0, nat = 4, ntyp = 3
/
ATOMIC_SPECIES
K 39.10 K.upf
Cu 63.55 Cu.upf
Au 196.97 Au.upf
ATOMIC_POSITIONS angstrom
K 0.000 0.000 0.000
Cu 0.001 2.157 4.282
Au 1.414 2.157 2.063
Au 1.415 0.000 4.089
CELL_PARAMETERS angstrom
2.827 0.000 0.000
0.000 4.314 0.000
-0.007 0.000 7.081
```

Properties
The calculation puts the formation enthalpy at 0 K at -0.08 eV/atom. As for the relative energy among the computed polymorphs: 112 meV/atom.

(2)
# KCuAu2

KCuAu2 at its PBEsol-relaxed geometry (SCAN, Alexandria). Values from VASP.

The structure in Quantum ESPRESSO input format:
```
&SYSTEM
  ibrav = 0, nat = 8, ntyp = 3
/
ATOMIC_SPECIES
K 39.10 K.upf
Cu 63.55 Cu.upf
Au 196.97 Au.upf
ATOMIC_POSITIONS angstrom
K 0.000 0.000 0.000
K 3.946 2.261 0.000
Cu -0.045 0.000 2.995
Cu 3.901 2.261 2.995
Au -1.359 2.261 2.913
Au 1.269 2.261 2.596
Au 2.587 0.000 2.913
Au 5.215 0.000 2.596
CELL_PARAMETERS angstrom
7.891 0.000 0.000
0.000 4.522 0.000
-2.685 0.000 5.717
```

Properties
The calculation puts the formation enthalpy at 0 K at -0.19 eV/atom. As for the relative energy among the computed polymorphs: 0 meV/atom.

(3)
# KCu2Au

KCu2Au at its PBEsol-relaxed geometry (SCAN, Alexandria). Values from VASP.

The structure in Quantum ESPRESSO input format:
```
&SYSTEM
  ibrav = 0, nat = 4, ntyp = 3
/
ATOMIC_SPECIES
K 39.10 K.upf
Cu 63.55 Cu.upf
Au 196.97 Au.upf
ATOMIC_POSITIONS angstrom
K 0.000 0.000 0.000
Cu 1.378 1.976 2.313
Cu 1.378 1.976 4.688
Au 0.000 0.000 3.500
CELL_PARAMETERS angstrom
2.756 0.000 0.000
0.000 3.953 0.000
0.000 0.000 7.001
```

Properties
The calculation puts the formation enthalpy at 0 K at 0.22 eV/atom. As for the relative energy among the computed polymorphs: 0 meV/atom.

(4)
# KCu2Au

KCu2Au at its PBEsol-relaxed geometry (SCAN, Alexandria). Values from VASP.

The structure in Quantum ESPRESSO input format:
```
&SYSTEM
  ibrav = 0, nat = 4, ntyp = 3
/
ATOMIC_SPECIES
K 39.10 K.upf
Cu 63.55 Cu.upf
Au 196.97 Au.upf
ATOMIC_POSITIONS angstrom
K 0.000 0.000 0.000
Cu 0.000 2.489 2.614
Cu 1.364 2.489 0.000
Au 1.364 0.000 2.614
CELL_PARAMETERS angstrom
2.728 0.000 0.000
0.000 4.977 0.000
0.000 0.000 5.228
```

Properties
The calculation puts the formation enthalpy at 0 K at 0.46 eV/atom. As for the relative energy among the computed polymorphs: 242 meV/atom.

(5)
# KCuAu2

KCuAu2 at its PBEsol-relaxed geometry (SCAN, Alexandria). Values from VASP.

The structure in Quantum ESPRESSO input format:
```
&SYSTEM
  ibrav = 0, nat = 8, ntyp = 3
/
ATOMIC_SPECIES
K 39.10 K.upf
Cu 63.55 Cu.upf
Au 196.97 Au.upf
ATOMIC_POSITIONS angstrom
K 0.000 0.000 0.000
K 2.082 2.082 4.325
Cu 0.000 2.082 6.487
Cu 2.082 0.000 2.162
Au 0.000 0.000 4.325
Au 0.000 2.082 2.162
Au 2.082 0.000 6.487
Au 2.082 2.082 0.000
CELL_PARAMETERS angstrom
4.163 0.000 0.000
0.000 4.163 0.000
0.000 0.000 8.649
```

Properties
The calculation puts the formation enthalpy at 0 K at 0.23 eV/atom. As for the relative energy among the computed polymorphs: 417 meV/atom.

(6)
# KCuAu2

KCuAu2 at its PBEsol-relaxed geometry (SCAN, Alexandria). Values from VASP.

The structure in Quantum ESPRESSO input format:
```
&SYSTEM
  ibrav = 0, nat = 16, ntyp = 3
/
ATOMIC_SPECIES
K 39.10 K.upf
Cu 63.55 Cu.upf
Au 196.97 Au.upf
ATOMIC_POSITIONS angstrom
K 0.000 0.000 0.000
K 0.000 3.389 3.389
K 3.389 0.000 3.389
K 3.389 3.389 0.000
Cu 0.000 0.000 3.389
Cu 0.000 3.389 0.000
Cu 3.389 0.000 0.000
Cu 3.389 3.389 3.389
Au 1.694 1.694 1.694
Au 1.694 1.694 5.083
Au 1.694 5.083 1.694
Au 1.694 5.083 5.083
Au 5.083 1.694 1.694
Au 5.083 1.694 5.083
Au 5.083 5.083 1.694
Au 5.083 5.083 5.083
CELL_PARAMETERS angstrom
6.777 0.000 0.000
0.000 6.777 0.000
0.000 0.000 6.777
```

Properties
The calculation puts the formation enthalpy at 0 K at 0.29 eV/atom. As for the relative energy among the computed polymorphs: 483 meV/atom.

(7)
# K2CuAu2

K2CuAu2 at its PBEsol-relaxed geometry (SCAN, Alexandria). Values from VASP.

The structure in Quantum ESPRESSO input format:
```
&SYSTEM
  ibrav = 0, nat = 10, ntyp = 3
/
ATOMIC_SPECIES
K 39.10 K.upf
Cu 63.55 Cu.upf
Au 196.97 Au.upf
ATOMIC_POSITIONS angstrom
K 0.000 2.176 3.535
K 0.000 2.176 10.605
K 2.176 0.000 3.535
K 2.176 0.000 10.605
Cu 0.000 0.000 0.000
Cu 2.176 2.176 7.070
Au 0.000 0.000 5.776
Au 0.000 0.000 8.363
Au 2.176 2.176 1.293
Au 2.176 2.176 12.846
CELL_PARAMETERS angstrom
4.352 0.000 0.000
0.000 4.352 0.000
0.000 0.000 14.139
```

Properties
The calculation puts the formation enthalpy at 0 K at 0.44 eV/atom.

(8)
# KCuAu2

KCuAu2 at its PBEsol-relaxed geometry (SCAN, Alexandria). Values from VASP.

The structure in Quantum ESPRESSO input format:
```
&SYSTEM
  ibrav = 0, nat = 8, ntyp = 3
/
ATOMIC_SPECIES
K 39.10 K.upf
Cu 63.55 Cu.upf
Au 196.97 Au.upf
ATOMIC_POSITIONS angstrom
K 0.000 0.000 0.000
K 5.877 1.395 0.000
Cu -1.185 1.395 2.361
Cu 4.692 0.000 2.361
Au 0.737 0.000 3.325
Au 2.771 1.395 1.397
Au 6.614 1.395 3.325
Au 8.648 0.000 1.397
CELL_PARAMETERS angstrom
11.754 0.000 0.000
0.000 2.790 0.000
-2.369 0.000 4.722
```

Properties
The calculation puts the formation enthalpy at 0 K at 0.02 eV/atom. As for the relative energy among the computed polymorphs: 209 meV/atom.

(9)
# KCu2Au

KCu2Au at its PBEsol-relaxed geometry (SCAN, Alexandria). Values from VASP.

The structure in Quantum ESPRESSO input format:
```
&SYSTEM
  ibrav = 0, nat = 16, ntyp = 3
/
ATOMIC_SPECIES
K 39.10 K.upf
Cu 63.55 Cu.upf
Au 196.97 Au.upf
ATOMIC_POSITIONS angstrom
K 0.000 0.000 0.000
K 0.000 3.275 3.275
K 3.275 0.000 3.275
K 3.275 3.275 0.000
Cu 1.637 1.637 1.637
Cu 1.637 1.637 4.912
Cu 1.637 4.912 1.637
Cu 1.637 4.912 4.912
Cu 4.912 1.637 1.637
Cu 4.912 1.637 4.912
Cu 4.912 4.912 1.637
Cu 4.912 4.912 4.912
Au 0.000 0.000 3.275
Au 0.000 3.275 0.000
Au 3.275 0.000 0.000
Au 3.275 3.275 3.275
CELL_PARAMETERS angstrom
6.549 0.000 0.000
0.000 6.549 0.000
0.000 0.000 6.549
```

Properties
The calculation puts the formation enthalpy at 0 K at 0.44 eV/atom. As for the relative energy among the computed polymorphs: 215 meV/atom.

(10)
# KCuAu2

KCuAu2 at its PBEsol-relaxed geometry (SCAN, Alexandria). Values from VASP.

The structure in Quantum ESPRESSO input format:
```
&SYSTEM
  ibrav = 0, nat = 4, ntyp = 3
/
ATOMIC_SPECIES
K 39.10 K.upf
Cu 63.55 Cu.upf
Au 196.97 Au.upf
ATOMIC_POSITIONS angstrom
K 0.000 0.000 0.000
Cu 0.000 0.000 4.035
Au 1.546 1.546 2.552
Au 1.546 1.546 5.518
CELL_PARAMETERS angstrom
3.092 0.000 0.000
0.000 3.092 0.000
0.000 0.000 8.070
```

Properties
The calculation puts the formation enthalpy at 0 K at -0.06 eV/atom. As for the relative energy among the computed polymorphs: 126 meV/atom.

(11)
# KCuAu

KCuAu at its PBEsol-relaxed geometry (SCAN, Alexandria). Values from VASP.

The structure in Quantum ESPRESSO input format:
```
&SYSTEM
  ibrav = 0, nat = 6, ntyp = 3
/
ATOMIC_SPECIES
K 39.10 K.upf
Cu 63.55 Cu.upf
Au 196.97 Au.upf
ATOMIC_POSITIONS angstrom
K 0.000 0.000 0.000
K 1.498 2.014 5.648
Cu 0.000 0.000 2.998
Cu 1.498 2.014 8.646
Au 0.000 0.000 8.182
Au 1.498 2.014 2.534
CELL_PARAMETERS angstrom
2.996 0.000 0.000
0.000 4.028 0.000
0.000 0.000 11.296
```

Properties
The calculation puts the formation enthalpy at 0 K at -0.04 eV/atom.

(12)
# K2CuNiAu

K2CuNiAu at its PBEsol-relaxed geometry (SCAN, Alexandria). Values from VASP.

The structure in Quantum ESPRESSO input format:
```
&SYSTEM
  ibrav = 0, nat = 5, ntyp = 4
/
ATOMIC_SPECIES
K 39.10 K.upf
Cu 63.55 Cu.upf
Ni 58.69 Ni.upf
Au 196.97 Au.upf
ATOMIC_POSITIONS angstrom
K 0.000 2.923 0.000
K 2.923 0.000 0.000
Cu 0.000 0.000 2.326
Ni 2.923 2.923 0.000
Au 2.923 2.923 2.326
CELL_PARAMETERS angstrom
5.846 0.000 0.000
0.000 5.846 0.000
0.000 0.000 4.653
```

Properties
The calculation puts the formation enthalpy at 0 K at 0.61 eV/atom.